Cu3Ag7: optimized geometry, PBE.

Cell lengths 6.9144, 2.8637, 8.4294 Å; angles 90.00, 104.78, 90.00 degrees
Space group P2/m (No. 10)
Unique sites:
Cu1 0.0000 0.0000 0.0000 x1
Cu2 0.0940 0.5000 0.2874 x2
Ag1 0.1918 0.0000 0.5938 x2
Ag2 0.2869 0.5000 0.8977 x2
Ag3 0.3846 0.0000 0.1987 x2
Ag4 0.5000 0.5000 0.5000 x1

## Properties
Mass density   9.731 g/cm³
Energy of formation from the pure elements   0.783 eV/f.u.
E_tot   -3.014 eV/atom


CuAg: optimized geometry, PBE.

Cell lengths 6.7150, 2.7855, 8.1585 Å; angles 90.00, 103.90, 90.00 degrees
Space group P2/m (No. 10)
Unique sites:
Cu1 0.0000 0.0000 0.0000 x1
Cu2 0.0917 0.5000 0.3114 x2
Cu3 0.1829 0.0000 0.5842 x2
Ag1 0.2832 0.5000 0.8793 x2
Ag2 0.3777 0.0000 0.1946 x2
Ag3 0.5000 0.5000 0.5000 x1

## Properties
Mass density   9.608 g/cm³
Energy of formation from the pure elements   0.192 eV/f.u.
E_tot   -3.175 eV/atom


Cu3Ag2: optimized geometry, PBE.

Cell lengths 6.7351, 2.7891, 7.7659 Å; angles 90.00, 101.00, 90.00 degrees
Space group P2/m (No. 10)
Unique sites:
Cu1 0.0985 0.0000 0.3130 x2
Cu2 0.1816 0.5000 0.5920 x2
Cu3 0.2725 0.0000 0.8651 x2
Ag1 0.0000 0.5000 0.0000 x1
Ag2 0.4020 0.5000 0.1740 x2
Ag3 0.5000 0.0000 0.5000 x1

## Properties
Mass density   9.425 g/cm³
Energy of formation from the pure elements   0.423 eV/f.u.
E_tot   -3.275 eV/atom


Cu3Ag2: optimized geometry, PBE.

Cell lengths 2.8157, 2.8157, 17.9758 Å; angles 90.00, 90.00, 90.00 degrees
Space group P4/nmm (No. 129, origin choice 2)
Unique sites:
Cu1 0.2500 0.2500 0.0420 x2
Cu2 0.2500 0.2500 0.6647 x2
Cu3 0.2500 0.2500 0.8737 x2
Ag1 0.2500 0.2500 0.2309 x2
Ag2 0.2500 0.2500 0.4393 x2

## Properties
Mass density   9.470 g/cm³
Energy of formation from the pure elements   0.362 eV/f.u.
E_tot   -3.288 eV/atom


Cu3Ag2: optimized geometry, PBE.

Cell lengths 4.6619, 13.8417, 4.6677 Å; angles 90.00, 107.74, 90.00 degrees
Space group C2 (No. 5)
Unique sites:
Cu1 0.0000 0.0000 0.0000 x2
Cu2 0.0000 0.0877 0.5000 x2
Cu3 0.0000 0.1801 0.0000 x2
Cu4 0.0000 0.2806 0.5000 x2
Cu5 0.0000 0.4899 0.5000 x2
Cu6 0.0000 0.5816 0.0000 x2
Ag1 0.0000 0.3897 0.0000 x2
Ag2 0.0000 0.6789 0.5000 x2
Ag3 0.0000 0.7817 0.0000 x2
Ag4 0.0000 0.8949 0.5000 x2

## Properties
Mass density   9.409 g/cm³
Energy of formation from the pure elements   0.493 eV/f.u.
E_tot   -3.261 eV/atom


CuAg: optimized geometry, PBE.

Cell lengths 6.9865, 2.8565, 7.5300 Å; angles 90.00, 96.55, 90.00 degrees
Space group P2/m (No. 10)
Unique sites:
Cu1 0.0000 0.0000 0.0000 x1
Cu2 0.2843 0.5000 0.9326 x2
Cu3 0.4541 0.0000 0.1772 x2
Ag1 0.1481 0.5000 0.2782 x2
Ag2 0.1822 0.0000 0.6265 x2
Ag3 0.5000 0.5000 0.5000 x1

## Properties
Mass density   9.533 g/cm³
Energy of formation from the pure elements   0.142 eV/f.u.
E_tot   -3.199 eV/atom


Cu3Ag7: optimized geometry, PBE.

Cell lengths 9.0536, 4.0410, 8.8388 Å; angles 90.00, 92.00, 90.00 degrees
Space group C2/m (No. 12)
Unique sites:
Cu1 0.0000 0.0000 0.0000 x2
Cu2 0.2159 0.5000 0.9126 x4
Ag1 0.0000 0.5000 0.5000 x2
Ag2 0.0872 0.5000 0.1772 x4
Ag3 0.1100 0.0000 0.7193 x4
Ag4 0.1959 0.0000 0.3913 x4

## Properties
Mass density   9.719 g/cm³
Energy of formation from the pure elements   0.613 eV/f.u.
E_tot   -3.031 eV/atom


Cu3Ag2: optimized geometry, PBE.

Cell lengths 14.3738, 3.6204, 5.6196 Å; angles 90.00, 101.09, 90.00 degrees
Space group Cm (No. 8)
Unique sites:
Cu1 0.0000 0.0000 0.0000 x2
Cu2 0.0004 0.0000 0.4528 x2
Cu3 0.0935 0.5000 0.2735 x2
Cu4 0.1869 0.0000 0.0870 x2
Cu5 0.1878 0.0000 0.5548 x2
Cu6 0.4080 0.0000 0.1816 x2
Ag1 0.0976 0.5000 0.7750 x2
Ag2 0.2926 0.5000 0.3691 x2
Ag3 0.2951 0.5000 0.8825 x2
Ag4 0.4044 0.0000 0.6781 x2

## Properties
Mass density   9.406 g/cm³
Energy of formation from the pure elements   0.446 eV/f.u.
E_tot   -3.271 eV/atom